## Ho8Tl3PSe3 (PBE)

Data for crystalline Ho8Tl3PSe3 at its relaxed geometry.

POSCAR file:
```
Ho8Tl3PSe3
1.0
7.8670 -0.0008 0.0003
-3.9342 6.8185 -0.0276
0.0008 -4.5175 7.7383
Ho Se Tl P
8 3 3 1
Direct
0.2320 0.4641 0.7143 Ho
0.2320 0.9822 0.7144 Ho
0.2595 0.5190 0.2789 Ho
0.2497 0.0178 0.2856 Ho
0.7680 0.5359 0.2857 Ho
0.7405 0.4810 0.7211 Ho
0.7503 0.9822 0.7144 Ho
0.7680 0.0178 0.2856 Ho
0.5000 0.5000 0.5000 Se
0.5000 0.0000 0.5000 Se
0.0000 0.5000 0.5000 Se
0.0000 0.5000 0.0000 Tl
0.0000 0.0000 0.0000 Tl
0.5000 0.5000 0.0000 Tl
0.0000 0.0000 0.5000 P
```

Summary:
Its calculated density is 8.82 Mg/m³. As for the space-group type: R-3m, No. 166. Its energy relative to the elements, uncorrected is -14.82 eV/f.u.